1.
# PBE YTl4Au, optimized geometry
# Raw total energy (eV/atom): -3.02
# Formation energy from the elements (eV per atom): 0.179
data_YTl4Au
_chemical_formula_sum 'Y4 Tl16 Au4'
_cell_length_a 8.811
_cell_length_b 8.811
_cell_length_c 8.811
_cell_angle_alpha 90.00
_cell_angle_beta 90.00
_cell_angle_gamma 90.00
_symmetry_space_group_name_H-M 'F -4 3 m'
_symmetry_Int_Tables_number 216
_symmetry_space_group_name_Hall 'F -4 2 3'
loop_
_atom_site_label
_atom_site_fract_x
_atom_site_fract_y
_atom_site_fract_z
_atom_site_occupancy
Y1 0.000 0.000 0.000 1
Tl1 0.125 0.125 0.375 1
Au1 0.250 0.250 0.750 1

***

2.
# PBE Mg3AlHg, optimized geometry
# Distance to the lowest polymorph of the same formula (eV per atom): 0.3112
# Raw total energy (eV/atom): -1.50
# Formation energy from the elements (eV per atom): 0.262
data_Mg3AlHg
_chemical_formula_sum 'Mg3 Al1 Hg1'
_cell_length_a 5.212
_cell_length_b 5.212
_cell_length_c 5.212
_cell_angle_alpha 90.00
_cell_angle_beta 90.00
_cell_angle_gamma 90.00
_symmetry_space_group_name_H-M 'P m -3 m'
_symmetry_Int_Tables_number 221
_symmetry_space_group_name_Hall '-P 4 2 3'
loop_
_atom_site_label
_atom_site_fract_x
_atom_site_fract_y
_atom_site_fract_z
_atom_site_occupancy
Mg1 0.000 0.000 0.500 1
Al1 0.000 0.000 0.000 1
Hg1 0.500 0.500 0.500 1

***

3.
# PBE BeNbSi2Se, optimized geometry
# Raw total energy (eV/atom): -4.55
data_BeNbSi2Se
_chemical_formula_sum 'Be1 Nb1 Si2 Se1'
_cell_length_a 4.902
_cell_length_b 4.902
_cell_length_c 3.858
_cell_angle_alpha 90.00
_cell_angle_beta 90.00
_cell_angle_gamma 90.00
_symmetry_space_group_name_H-M 'P 4/m m m'
_symmetry_Int_Tables_number 123
_symmetry_space_group_name_Hall '-P 4 2'
loop_
_atom_site_label
_atom_site_fract_x
_atom_site_fract_y
_atom_site_fract_z
_atom_site_occupancy
Be1 0.000 0.000 0.000 1
Nb1 0.500 0.500 0.000 1
Si1 0.000 0.500 0.500 1
Se1 0.000 0.000 0.500 1

***

4.
# PBE PtBrCl, optimized geometry
# Raw total energy (eV/atom): -2.16
data_PtBrCl
_chemical_formula_sum 'Pt4 Br4 Cl4'
_cell_length_a 6.587
_cell_length_b 6.587
_cell_length_c 6.587
_cell_angle_alpha 90.00
_cell_angle_beta 90.00
_cell_angle_gamma 90.00
_symmetry_space_group_name_H-M 'F -4 3 m'
_symmetry_Int_Tables_number 216
_symmetry_space_group_name_Hall 'F -4 2 3'
loop_
_atom_site_label
_atom_site_fract_x
_atom_site_fract_y
_atom_site_fract_z
_atom_site_occupancy
Pt1 0.000 0.000 0.000 1
Br1 0.250 0.250 0.250 1
Cl1 0.000 0.000 0.500 1

***

5.
# PBE BAuSe2O, optimized geometry
# Raw total energy (eV/atom): -2.93
data_BAuSe2O
_chemical_formula_sum 'B1 Au1 Se2 O1'
_cell_length_a 5.200
_cell_length_b 5.200
_cell_length_c 4.051
_cell_angle_alpha 90.00
_cell_angle_beta 90.00
_cell_angle_gamma 90.00
_symmetry_space_group_name_H-M 'P 4/m m m'
_symmetry_Int_Tables_number 123
_symmetry_space_group_name_Hall '-P 4 2'
loop_
_atom_site_label
_atom_site_fract_x
_atom_site_fract_y
_atom_site_fract_z
_atom_site_occupancy
B1 0.000 0.000 0.000 1
Au1 0.000 0.000 0.500 1
Se1 0.000 0.500 0.500 1
O1 0.500 0.500 0.000 1

***

6.
# PBE BaLaZn2Pd2, optimized geometry
# Raw total energy (eV/atom): -3.90
# Formation energy from the elements (eV per atom): -0.608
data_BaLaZn2Pd2
_chemical_formula_sum 'Ba1 La1 Zn2 Pd2'
_cell_length_a 4.5508
_cell_length_b 4.5508
_cell_length_c 8.3721
_cell_angle_alpha 90.00
_cell_angle_beta 90.00
_cell_angle_gamma 120.00
_symmetry_space_group_name_H-M 'P -3 m 1'
_symmetry_Int_Tables_number 164
_symmetry_space_group_name_Hall '-P 3 2"'
loop_
_atom_site_label
_atom_site_fract_x
_atom_site_fract_y
_atom_site_fract_z
_atom_site_occupancy
Ba1 0.0000 0.0000 0.0000 1
La1 0.0000 0.0000 0.5000 1
Zn1 0.3333 0.6667 0.2777 1
Pd1 0.3333 0.6667 0.7081 1

***

7.
# PBE CsTePbBr, optimized geometry
# Raw total energy (eV/atom): -3.28
data_CsTePbBr
_chemical_formula_sum 'Cs1 Te1 Pb1 Br1'
_cell_length_a 4.903
_cell_length_b 4.911
_cell_length_c 9.920
_cell_angle_alpha 104.21
_cell_angle_beta 90.09
_cell_angle_gamma 119.91
_symmetry_space_group_name_H-M 'P 1'
_symmetry_Int_Tables_number 1
_symmetry_space_group_name_Hall 'P 1'
loop_
_atom_site_label
_atom_site_fract_x
_atom_site_fract_y
_atom_site_fract_z
_atom_site_occupancy
Cs1 0.000 0.000 0.000 1
Te1 0.230 0.459 0.689 1
Pb1 0.846 0.693 0.538 1
Br1 0.738 0.475 0.213 1

***

8.
# PBE LiSiF3, optimized geometry
# Distance to the lowest polymorph of the same formula (eV per atom): 0.0000
# Raw total energy (eV/atom): -4.52
data_LiSiF3
_chemical_formula_sum 'Li1 Si1 F3'
_cell_length_a 4.241
_cell_length_b 4.241
_cell_length_c 4.241
_cell_angle_alpha 90.00
_cell_angle_beta 90.00
_cell_angle_gamma 90.00
_symmetry_space_group_name_H-M 'P m -3 m'
_symmetry_Int_Tables_number 221
_symmetry_space_group_name_Hall '-P 4 2 3'
loop_
_atom_site_label
_atom_site_fract_x
_atom_site_fract_y
_atom_site_fract_z
_atom_site_occupancy
Li1 0.000 0.000 0.000 1
Si1 0.500 0.500 0.500 1
F1 0.000 0.500 0.500 1

***

Number 1: total magnetization 0.00 μB per formula unit. Number 2: total magnetization 0.00 μB per formula unit. Number 3: total magnetization 1.30 μB per formula unit. Number 4: total magnetization 1.30 μB per formula unit. Number 5: total magnetization 0.34 μB per formula unit. Number 6: total magnetization 0.00 μB per formula unit. Number 7: total magnetization 0.00 μB per formula unit. Number 8: total magnetization 0.00 μB per formula unit.